No. 1
Computed, not measured: an optimized crystal structure of HfPa2Ti at the GGA-PBE level of DFT.

For the excess energy over the best structure of this formula in the dataset, the calculation gives 0.000 eV per atom. For the energy relative to the elements, the calculation gives 0.132 eV/atom. Its space-group type is No. 160.

CIF file:
```
data_HfPa2Ti
_space_group_name_H-M_alt 'P 1'
_space_group_IT_number 1
_cell_length_a 3.143
_cell_length_b 3.143
_cell_length_c 31.783
_cell_angle_alpha 90.00
_cell_angle_beta 90.00
_cell_angle_gamma 120.00
loop_
_space_group_symop_operation_xyz
'x,y,z'
loop_
_atom_site_label
_atom_site_type_symbol
_atom_site_fract_x
_atom_site_fract_y
_atom_site_fract_z
_atom_site_occupancy
Hf1 Hf 0.000 0.000 0.000 1
Hf2 Hf 0.333 0.667 0.667 1
Hf3 Hf 0.667 0.333 0.333 1
Pa1 Pa 0.000 0.000 0.579 1
Pa2 Pa 0.000 0.000 0.751 1
Pa3 Pa 0.333 0.667 0.246 1
Pa4 Pa 0.333 0.667 0.418 1
Pa5 Pa 0.667 0.333 0.085 1
Pa6 Pa 0.667 0.333 0.913 1
Ti1 Ti 0.000 0.000 0.165 1
Ti2 Ti 0.333 0.667 0.832 1
Ti3 Ti 0.667 0.333 0.498 1
```

***

No. 2
Computed, not measured: an optimized crystal structure of SrHgPO2 at the GGA-PBE level of DFT.

For the excess energy over the best structure of this formula in the dataset, the calculation gives 0.000 eV per atom. As for the formation energy from raw total energies: -0.238 eV/atom. Its space-group type is No. 123.

CIF file:
```
data_SrHgPO2
_space_group_name_H-M_alt 'P 1'
_space_group_IT_number 1
_cell_length_a 4.450
_cell_length_b 4.450
_cell_length_c 4.866
_cell_angle_alpha 90.00
_cell_angle_beta 90.00
_cell_angle_gamma 90.00
loop_
_space_group_symop_operation_xyz
'x,y,z'
loop_
_atom_site_label
_atom_site_type_symbol
_atom_site_fract_x
_atom_site_fract_y
_atom_site_fract_z
_atom_site_occupancy
Sr1 Sr 0.000 0.000 0.000 1
Hg1 Hg 0.500 0.500 0.500 1
P1 P 0.500 0.500 0.000 1
O1 O 0.000 0.500 0.500 1
O2 O 0.500 0.000 0.500 1
```

***

No. 3
Computed, not measured: an optimized crystal structure of La12Sm5Dy2 at the GGA-PBE level of DFT.

For the excess energy over the best structure of this formula in the dataset, the calculation gives 0.000 eV per atom. For the energy relative to the elements, the calculation gives 0.111 eV/atom. Its space-group type is No. 12.

CIF file:
```
data_La12Sm5Dy2
_space_group_name_H-M_alt 'P 1'
_space_group_IT_number 1
_cell_length_a 11.825
_cell_length_b 11.825
_cell_length_c 5.978
_cell_angle_alpha 103.90
_cell_angle_beta 103.90
_cell_angle_gamma 57.10
loop_
_space_group_symop_operation_xyz
'x,y,z'
loop_
_atom_site_label
_atom_site_type_symbol
_atom_site_fract_x
_atom_site_fract_y
_atom_site_fract_z
_atom_site_occupancy
La1 La 0.031 0.573 0.795 1
La2 La 0.078 0.078 0.159 1
La3 La 0.123 0.701 0.388 1
La4 La 0.299 0.877 0.612 1
La5 La 0.381 0.381 0.991 1
La6 La 0.427 0.969 0.205 1
La7 La 0.573 0.031 0.795 1
La8 La 0.619 0.619 0.009 1
La9 La 0.701 0.123 0.388 1
La10 La 0.877 0.299 0.612 1
La11 La 0.922 0.922 0.841 1
La12 La 0.969 0.427 0.205 1
Sm1 Sm 0.208 0.208 0.792 1
Sm2 Sm 0.313 0.313 0.421 1
Sm3 Sm 0.500 0.500 0.500 1
Sm4 Sm 0.687 0.687 0.579 1
Sm5 Sm 0.792 0.792 0.208 1
Dy1 Dy 0.290 0.710 0.000 1
Dy2 Dy 0.710 0.290 0.000 1
```

***

No. 4
Computed, not measured: an optimized crystal structure of Dy2Ho2Sb2C at the GGA-PBE level of DFT.

As for the formation energy from raw total energies: -0.789 eV/atom. Its space-group type is No. 139.

CIF file:
```
data_Dy2Ho2Sb2C
_space_group_name_H-M_alt 'P 1'
_space_group_IT_number 1
_cell_length_a 4.764
_cell_length_b 4.764
_cell_length_c 15.751
_cell_angle_alpha 90.00
_cell_angle_beta 90.00
_cell_angle_gamma 90.00
loop_
_space_group_symop_operation_xyz
'x,y,z'
loop_
_atom_site_label
_atom_site_type_symbol
_atom_site_fract_x
_atom_site_fract_y
_atom_site_fract_z
_atom_site_occupancy
Dy1 Dy 0.000 0.000 0.158 1
Dy2 Dy 0.000 0.000 0.842 1
Dy3 Dy 0.500 0.500 0.342 1
Dy4 Dy 0.500 0.500 0.658 1
Ho1 Ho 0.000 0.500 0.000 1
Ho2 Ho 0.000 0.500 0.500 1
Ho3 Ho 0.500 0.000 0.000 1
Ho4 Ho 0.500 0.000 0.500 1
Sb1 Sb 0.000 0.000 0.358 1
Sb2 Sb 0.000 0.000 0.642 1
Sb3 Sb 0.500 0.500 0.142 1
Sb4 Sb 0.500 0.500 0.858 1
C1 C 0.000 0.000 0.000 1
C2 C 0.500 0.500 0.500 1
```

***

No. 5
Computed, not measured: an optimized crystal structure of SrDyEr2S4 at the GGA-PBE level of DFT.

As for the formation energy from raw total energies: -1.972 eV/atom. Its space-group type is No. 10.

CIF file:
```
data_SrDyEr2S4
_space_group_name_H-M_alt 'P 1'
_space_group_IT_number 1
_cell_length_a 6.871
_cell_length_b 3.938
_cell_length_c 6.875
_cell_angle_alpha 90.00
_cell_angle_beta 109.06
_cell_angle_gamma 90.00
loop_
_space_group_symop_operation_xyz
'x,y,z'
loop_
_atom_site_label
_atom_site_type_symbol
_atom_site_fract_x
_atom_site_fract_y
_atom_site_fract_z
_atom_site_occupancy
Sr1 Sr 0.000 0.000 0.000 1
Dy1 Dy 0.500 0.500 0.000 1
Er1 Er 0.000 0.500 0.500 1
Er2 Er 0.500 0.000 0.500 1
S1 S 0.254 0.000 0.740 1
S2 S 0.263 0.500 0.266 1
S3 S 0.737 0.500 0.734 1
S4 S 0.746 0.000 0.260 1
```

***

No. 6
Computed, not measured: an optimized crystal structure of EuDy3B at the GGA-PBE level of DFT.

For the energy relative to the elements, the calculation gives 0.064 eV/atom. Its space-group type is No. 221.

CIF file:
```
data_EuDy3B
_space_group_name_H-M_alt 'P 1'
_space_group_IT_number 1
_cell_length_a 5.225
_cell_length_b 5.225
_cell_length_c 5.225
_cell_angle_alpha 90.00
_cell_angle_beta 90.00
_cell_angle_gamma 90.00
loop_
_space_group_symop_operation_xyz
'x,y,z'
loop_
_atom_site_label
_atom_site_type_symbol
_atom_site_fract_x
_atom_site_fract_y
_atom_site_fract_z
_atom_site_occupancy
Eu1 Eu 0.000 0.000 0.000 1
Dy1 Dy 0.000 0.500 0.500 1
Dy2 Dy 0.500 0.000 0.500 1
Dy3 Dy 0.500 0.500 0.000 1
B1 B 0.500 0.500 0.500 1
```

***

No. 7
Computed, not measured: an optimized crystal structure of TlHg2P at the GGA-PBE level of DFT.

For the excess energy over the best structure of this formula in the dataset, the calculation gives 0.182 eV per atom. For the energy relative to the elements, the calculation gives 0.326 eV/atom. Its space-group type is No. 123.

CIF file:
```
data_TlHg2P
_space_group_name_H-M_alt 'P 1'
_space_group_IT_number 1
_cell_length_a 4.069
_cell_length_b 4.069
_cell_length_c 6.374
_cell_angle_alpha 90.00
_cell_angle_beta 90.00
_cell_angle_gamma 90.00
loop_
_space_group_symop_operation_xyz
'x,y,z'
loop_
_atom_site_label
_atom_site_type_symbol
_atom_site_fract_x
_atom_site_fract_y
_atom_site_fract_z
_atom_site_occupancy
Tl1 Tl 0.000 0.000 0.000 1
Hg1 Hg 0.000 0.500 0.500 1
Hg2 Hg 0.500 0.000 0.500 1
P1 P 0.500 0.500 0.000 1
```